[1]
Sc2AgAu | PBE | relaxed

a b c (Å): 3.4168 3.4168 6.8319
angles (deg): 90.00 90.00 90.00
Last column: nearest neighbours and their distance in Å.
Positions (direct):
Sc  0.0000  0.0000  0.2459  4 Au 2.94, 4 Ag 2.98
Sc  0.0000  0.0000  0.7541  4 Au 2.94, 4 Ag 2.98
Ag  0.5000  0.5000  0.5000  8 Sc 2.98
Au  0.5000  0.5000  0.0000  8 Sc 2.94

Summary:
**Energy relative to the elements**: -0.550 eV/atom

---

[2]
CePd3Au3 | PBE | relaxed

a b c (Å): 6.6383 6.6383 6.6383
angles (deg): 72.16 72.16 72.16
Last column: nearest neighbours and their distance in Å.
Positions (direct):
Ce  0.2331  0.2331  0.2331  6 Pd 2.86-2.94, 3 Au 3.02
Ce  0.7669  0.7669  0.7669  6 Pd 2.86-2.94, 3 Au 3.02
Pd  0.0295  0.3218  0.8836  5 Au 2.84-3.04, 2 Ce 2.86-2.94, 5 Pd 2.88-3.07
Pd  0.1164  0.9705  0.6782  5 Au 2.84-3.04, 2 Ce 2.86-2.94, 5 Pd 2.88-3.07
Pd  0.3218  0.8836  0.0295  5 Au 2.84-3.04, 2 Ce 2.86-2.94, 5 Pd 2.88-3.07
Pd  0.6782  0.1164  0.9705  5 Au 2.84-3.04, 2 Ce 2.86-2.94, 5 Pd 2.88-3.07
Pd  0.8836  0.0295  0.3218  5 Au 2.84-3.04, 2 Ce 2.86-2.94, 5 Pd 2.88-3.07
Pd  0.9705  0.6782  0.1164  5 Au 2.84-3.04, 2 Ce 2.86-2.94, 5 Pd 2.88-3.07
Au  0.1855  0.6219  0.4500  5 Pd 2.84-3.04, 5 Au 2.92-3.15, 1 Ce 3.02
Au  0.3781  0.5500  0.8145  5 Pd 2.84-3.04, 5 Au 2.92-3.15, 1 Ce 3.02
Au  0.4500  0.1855  0.6219  5 Pd 2.84-3.04, 5 Au 2.92-3.15, 1 Ce 3.02
Au  0.5500  0.8145  0.3781  5 Pd 2.84-3.04, 5 Au 2.92-3.15, 1 Ce 3.02
Au  0.6219  0.4500  0.1855  5 Pd 2.84-3.04, 5 Au 2.92-3.15, 1 Ce 3.02
Au  0.8145  0.3781  0.5500  5 Pd 2.84-3.04, 5 Au 2.92-3.15, 1 Ce 3.02

Summary:
**Energy relative to the elements**: -0.426 eV/atom

---

[3]
Ag4Cl5F | PBE | relaxed

a b c (Å): 8.6642 8.6642 7.5021
angles (deg): 105.65 105.65 25.40
Last column: nearest neighbours and their distance in Å.
Positions (direct):
Ag  0.0013  0.0013  0.2439  4 Cl 2.52-2.71, 2 F 2.64
Ag  0.3363  0.3363  0.8928  4 Cl 2.57-2.60, 1 F 2.66
Ag  0.6637  0.6637  0.1072  4 Cl 2.57-2.60, 1 F 2.66
Ag  0.9987  0.9987  0.7561  4 Cl 2.52-2.71, 2 F 2.64
Cl  0.1547  0.1547  0.8655  3 Ag 2.54-2.60
Cl  0.1564  0.1564  0.3313  3 Ag 2.52-2.57
Cl  0.5000  0.5000  0.5000  4 Ag 2.71
Cl  0.8436  0.8436  0.6687  3 Ag 2.52-2.57
Cl  0.8453  0.8453  0.1345  3 Ag 2.54-2.60
F  0.5000  0.5000  0.0000  6 Ag 2.64-2.66

Summary:
**Formation energy (no corrections)**: -0.49 eV per atom